The following is a DFT calculation (PBE) of AgMoPt3 after structural relaxation.

a b c (Å): 4.824 4.824 4.824
angles (deg): 90.00 90.00 90.00
Positions (direct):
Ag (0.000, 0.000, 0.000)
Mo (0.500, 0.500, 0.500)
Pt (0.000, 0.500, 0.500)
Pt (0.500, 0.000, 0.500)
Pt (0.500, 0.500, 0.000)

Output
magnetic moment = 0.00 μB per formula unit
total DFT energy (no corrections) = -5.3019 eV/atom
excess energy over the best structure of this formula in the dataset = 0 meV per atom
ΔE_f = 1059 meV/atom
SG = No. 221